No. 1
Below is an optimized crystal structure of HfOs2Cl, with properties calculated at the GGA-PBE level.

Lattice parameters (Å, degrees): 4.6224 4.6224 8.1255 73.47 73.47 90.00
With the nearest neighbours (Å) after each atom.
Atoms (fractional coordinates):
Os: 0.5067 0.1250 0.2500  2 Cl 2.27
Os: 0.3750 0.4933 0.7500  2 Cl 2.27
Cl: 0.5000 0.5000 0.0000  4 Os 2.27
Os: 0.2433 0.6250 0.2500  2 Cl 2.27
Hf: 0.0000 0.0000 0.0000  4 Os 2.77
Cl: 0.2500 0.7500 0.5000  4 Os 2.27
Hf: 0.7500 0.2500 0.5000  4 Os 2.77
Os: 0.8750 0.7567 0.7500  2 Cl 2.27

Total magnetization = 0.00 μB per atom
ΔE_f (raw) = 0.9818 eV per atom
Energy above the most stable polymorph in this dataset = 123 meV/atom
Uncorrected energy = -7.583 eV per atom

=====

No. 2
Below is an optimized crystal structure of HfOs3Cl, with properties calculated at the GGA-PBE level.

Lattice parameters (Å, degrees): 4.9495 4.9495 4.9495 90.00 90.00 90.00
With the nearest neighbours (Å) after each atom.
Atoms (fractional coordinates):
Os: 0.0000 0.0000 0.5000  2 Hf 2.47
Hf: 0.0000 0.0000 0.0000  6 Os 2.47
Os: 0.5000 0.0000 0.0000  2 Hf 2.47
Cl: 0.5000 0.5000 0.5000  12 Os 3.50
Os: 0.0000 0.5000 0.0000  2 Hf 2.47

Total magnetization = 1.15 μB per atom
ΔE_f (raw) = 2.6029 eV per atom
Energy above the most stable polymorph in this dataset = 1298 meV/atom
Uncorrected energy = -6.495 eV per atom

=====

No. 3
Below is an optimized crystal structure of HfOs2Cl, with properties calculated at the GGA-PBE level.

Lattice parameters (Å, degrees): 4.5549 4.5549 4.5549 60.00 60.00 60.00
With the nearest neighbours (Å) after each atom.
Atoms (fractional coordinates):
Os: 0.7500 0.7500 0.7500  4 Hf 2.79, 4 Cl 2.79
Hf: 0.5000 0.5000 0.5000  8 Os 2.79
Os: 0.2500 0.2500 0.2500  4 Hf 2.79, 4 Cl 2.79
Cl: 0.0000 0.0000 0.0000  8 Os 2.79

Total magnetization = 0.00 μB per atom
ΔE_f (raw) = 0.8593 eV per atom
Energy above the most stable polymorph in this dataset = 0 meV/atom
Uncorrected energy = -7.706 eV per atom

=====

No. 4
Below is an optimized crystal structure of Hf3OsCl, with properties calculated at the GGA-PBE level.

Lattice parameters (Å, degrees): 5.0873 5.0873 5.0873 90.00 90.00 90.00
With the nearest neighbours (Å) after each atom.
Atoms (fractional coordinates):
Cl: 0.5000 0.5000 0.5000  12 Hf 3.60
Hf: 0.0000 0.5000 0.0000  2 Os 2.54
Hf: 0.5000 0.0000 0.0000  2 Os 2.54
Os: 0.0000 0.0000 0.0000  6 Hf 2.54
Hf: 0.0000 0.0000 0.5000  2 Os 2.54

Total magnetization = 0.00 μB per atom
ΔE_f (raw) = 0.3587 eV per atom
Energy above the most stable polymorph in this dataset = 0 meV/atom
Uncorrected energy = -8.229 eV per atom

=====

No. 5
Below is an optimized crystal structure of HfOsCl3, with properties calculated at the GGA-PBE level.

Lattice parameters (Å, degrees): 4.9878 4.9878 4.9878 90.00 90.00 90.00
With the nearest neighbours (Å) after each atom.
Atoms (fractional coordinates):
Cl: 0.5000 0.0000 0.0000  2 Hf 2.49
Hf: 0.0000 0.0000 0.0000  6 Cl 2.49
Cl: 0.0000 0.0000 0.5000  2 Hf 2.49
Os: 0.5000 0.5000 0.5000  12 Cl 3.53
Cl: 0.0000 0.5000 0.0000  2 Hf 2.49

Total magnetization = 0.73 μB per atom
ΔE_f (raw) = 0.4435 eV per atom
Energy above the most stable polymorph in this dataset = 0 meV/atom
Uncorrected energy = -4.901 eV per atom

=====

No. 6
Below is an optimized crystal structure of HfOs3Cl, with properties calculated at the GGA-PBE level.

Lattice parameters (Å, degrees): 4.3838 4.3838 4.3838 90.00 90.00 90.00
With the nearest neighbours (Å) after each atom.
Atoms (fractional coordinates):
Os: 0.0000 0.5000 0.0000  2 Cl 2.19
Os: 0.5000 0.0000 0.0000  2 Cl 2.19
Os: 0.0000 0.0000 0.5000  2 Cl 2.19
Hf: 0.5000 0.5000 0.5000  12 Os 3.10
Cl: 0.0000 0.0000 0.0000  6 Os 2.19

Total magnetization = 0.00 μB per atom
ΔE_f (raw) = 1.3052 eV per atom
Energy above the most stable polymorph in this dataset = 0 meV/atom
Uncorrected energy = -7.793 eV per atom

=====

No. 7
Below is an optimized crystal structure of HfOsCl3, with properties calculated at the GGA-PBE level.

Lattice parameters (Å, degrees): 4.7596 4.7596 4.7596 90.00 90.00 90.00
With the nearest neighbours (Å) after each atom.
Atoms (fractional coordinates):
Hf: 0.5000 0.5000 0.5000  12 Cl 3.37
Os: 0.0000 0.0000 0.0000  6 Cl 2.38
Cl: 0.0000 0.0000 0.5000  2 Os 2.38
Cl: 0.5000 0.0000 0.0000  2 Os 2.38
Cl: 0.0000 0.5000 0.0000  2 Os 2.38

Total magnetization = 0.30 μB per atom
ΔE_f (raw) = 0.8226 eV per atom
Energy above the most stable polymorph in this dataset = 379 meV/atom
Uncorrected energy = -4.522 eV per atom

=====

No. 8
Below is an optimized crystal structure of Hf4OsCl2, with properties calculated at the GGA-PBE level.

Lattice parameters (Å, degrees): 5.1128 5.1128 7.3852 69.75 69.75 90.00
With the nearest neighbours (Å) after each atom.
Atoms (fractional coordinates):
Cl: 0.3936 0.3936 0.2128  1 Hf 2.54, 1 Cl 2.74
Hf: 0.1965 0.1965 0.6070  1 Os 2.53, 1 Cl 2.54
Os: 0.0000 0.0000 0.0000  6 Hf 2.53-2.56
Hf: 0.5000 0.0000 0.0000  2 Os 2.56
Cl: 0.6064 0.6064 0.7872  1 Hf 2.54, 1 Cl 2.74
Hf: 0.0000 0.5000 0.0000  2 Os 2.56
Hf: 0.8035 0.8035 0.3930  1 Os 2.53, 1 Cl 2.54

Total magnetization = 0.05 μB per atom
ΔE_f (raw) = 0.1013 eV per atom
Uncorrected energy = -7.718 eV per atom